Entry 1:
This record from Alexandria via LeMat-Bulk describes a geometry-optimized TbAl4Sb structure. The functional is PBE-GGA.

Output
symmetry: F-43m (216)
E_form (uncorrected): -0.1914 eV per atom

Unit cell a=5.5589 b=5.5589 c=5.5589 alpha=60.00 beta=60.00 gamma=60.00
Sites, in units of the cell vectors:
Sb: 0.2500 0.2500 0.2500
Tb: 0.0000 0.0000 0.0000
Al: 0.6249 0.6249 0.1253
Al: 0.6249 0.1253 0.6249
Al: 0.6249 0.6249 0.6249
Al: 0.1253 0.6249 0.6249

Entry 2:
This record from Alexandria via LeMat-Bulk describes a geometry-optimized ErSbPd2 structure. The functional is PBE-GGA.

Output
symmetry: P4/mmm (123)
E_form (uncorrected): -0.7781 eV per atom

Unit cell a=4.0771 b=4.4016 c=4.4016 alpha=90.00 beta=90.00 gamma=90.00
Sites, in units of the cell vectors:
Sb: 0.5000 0.0000 0.0000
Pd: 0.0000 0.0000 0.5000
Pd: 0.0000 0.5000 0.0000
Er: 0.5000 0.5000 0.5000

Entry 3:
This record from Alexandria via LeMat-Bulk describes a geometry-optimized CaPm2Nd structure. The functional is PBE-GGA.

Output
energy above the most stable polymorph in this dataset: 0.0 meV/atom
symmetry: R3m (160)
energy of formation: 42 meV per atom

Unit cell a=3.6935 b=3.6935 c=12.4101 alpha=81.44 beta=81.44 gamma=60.00
Sites, in units of the cell vectors:
Ca: 0.5004 0.5004 0.4987
Pm: 0.0798 0.0798 0.7605
Pm: 0.2534 0.2534 0.2399
Nd: 0.6664 0.6664 0.0009

Entry 4:
This record from Alexandria via LeMat-Bulk describes a geometry-optimized Ba8EuB6N12 structure. The functional is PBE-GGA.

Output
symmetry: Pm-3m (221)
E_form (uncorrected): -1.0240 eV per atom

Unit cell a=8.0263 b=8.0263 c=8.0263 alpha=90.00 beta=90.00 gamma=90.00
Each line ends with the local moment (μB).
Sites, in units of the cell vectors:
Ba: 0.7380 0.7380 0.2620  0.01
Ba: 0.2620 0.2620 0.7380  0.01
Ba: 0.2620 0.7380 0.2620  0.01
Ba: 0.7380 0.2620 0.7380  0.01
Ba: 0.2620 0.7380 0.7380  0.01
Ba: 0.7380 0.2620 0.2620  0.01
Ba: 0.7380 0.7380 0.7380  0.01
Ba: 0.2620 0.2620 0.2620  0.01
Eu: 0.0000 0.0000 0.0000  6.79
B: 0.5000 0.0000 0.0000  0.00
B: 0.0000 0.5000 0.5000  0.00
B: 0.0000 0.0000 0.5000  0.00
B: 0.5000 0.5000 0.0000  0.00
B: 0.5000 0.0000 0.5000  0.00
B: 0.0000 0.5000 0.0000  0.00
N: 0.5000 0.5000 0.1679  0.00
N: 0.0000 0.0000 0.6698  -0.01
N: 0.0000 0.3302 0.0000  -0.01
N: 0.5000 0.8321 0.5000  0.00
N: 0.8321 0.5000 0.5000  0.00
N: 0.3302 0.0000 0.0000  -0.01
N: 0.5000 0.5000 0.8321  0.00
N: 0.0000 0.0000 0.3302  -0.01
N: 0.0000 0.6698 0.0000  -0.01
N: 0.5000 0.1679 0.5000  0.00
N: 0.6698 0.0000 0.0000  -0.01
N: 0.1679 0.5000 0.5000  0.00

Entry 5:
This record from Alexandria via LeMat-Bulk describes a geometry-optimized Pr5GaTe4 structure. The functional is PBE-GGA.

Output
symmetry: I4/m (87)
E_form (uncorrected): -1.3101 eV per atom

Unit cell a=6.3672 b=7.8150 c=7.8150 alpha=80.45 beta=65.96 gamma=65.96
Sites, in units of the cell vectors:
Pr: 0.9051 0.3800 0.8118
Pr: 0.2851 0.8118 0.6200
Pr: 0.7169 0.1882 0.3800
Pr: 0.0969 0.6200 0.1882
Pr: 0.5013 0.0000 0.0000
Ga: 0.0012 0.0000 0.0000
Te: 0.4063 0.3974 0.7918
Te: 0.8038 0.7918 0.6026
Te: 0.1982 0.2082 0.3974
Te: 0.5956 0.6026 0.2082

Entry 6:
This record from Alexandria via LeMat-Bulk describes a geometry-optimized Li2InCl structure. The functional is PBE-GGA.

Output
energy above the most stable polymorph in this dataset: 228.3 meV/atom
symmetry: R3m (160)
E_form (uncorrected): -0.6758 eV per atom

Unit cell a=9.7474 b=9.7474 c=9.7474 alpha=21.91 beta=21.91 gamma=21.91
Sites, in units of the cell vectors:
Cl: 0.5399 0.5399 0.5399
In: 0.7370 0.7370 0.7370
Li: 0.0002 0.0002 0.0002
Li: 0.2230 0.2230 0.2230

Repeat the fourth record exactly.
This record from Alexandria via LeMat-Bulk describes a geometry-optimized Ba8EuB6N12 structure. The functional is PBE-GGA.

Output
symmetry: Pm-3m (221)
E_form (uncorrected): -1.0240 eV per atom

Unit cell a=8.0263 b=8.0263 c=8.0263 alpha=90.00 beta=90.00 gamma=90.00
Each line ends with the local moment (μB).
Sites, in units of the cell vectors:
Ba: 0.7380 0.7380 0.2620  0.01
Ba: 0.2620 0.2620 0.7380  0.01
Ba: 0.2620 0.7380 0.2620  0.01
Ba: 0.7380 0.2620 0.7380  0.01
Ba: 0.2620 0.7380 0.7380  0.01
Ba: 0.7380 0.2620 0.2620  0.01
Ba: 0.7380 0.7380 0.7380  0.01
Ba: 0.2620 0.2620 0.2620  0.01
Eu: 0.0000 0.0000 0.0000  6.79
B: 0.5000 0.0000 0.0000  0.00
B: 0.0000 0.5000 0.5000  0.00
B: 0.0000 0.0000 0.5000  0.00
B: 0.5000 0.5000 0.0000  0.00
B: 0.5000 0.0000 0.5000  0.00
B: 0.0000 0.5000 0.0000  0.00
N: 0.5000 0.5000 0.1679  0.00
N: 0.0000 0.0000 0.6698  -0.01
N: 0.0000 0.3302 0.0000  -0.01
N: 0.5000 0.8321 0.5000  0.00
N: 0.8321 0.5000 0.5000  0.00
N: 0.3302 0.0000 0.0000  -0.01
N: 0.5000 0.5000 0.8321  0.00
N: 0.0000 0.0000 0.3302  -0.01
N: 0.0000 0.6698 0.0000  -0.01
N: 0.5000 0.1679 0.5000  0.00
N: 0.6698 0.0000 0.0000  -0.01
N: 0.1679 0.5000 0.5000  0.00